Record 1
VASP calculation (PBE-GGA) on an optimized crystal structure of Na2TlSnH.

Results
* energy relative to the lowest polymorph listed for this composition: 0.000 eV per atom
* raw total energy: -2.526 eV/atom

```
data_Na2TlSnH
_cell_length_a 4.553
_cell_length_b 4.553
_cell_length_c 5.387
_cell_angle_alpha 90.00
_cell_angle_beta 90.00
_cell_angle_gamma 90.00
_symmetry_space_group_name_H-M 'P 4/m m m'
_symmetry_Int_Tables_number 123
_symmetry_space_group_name_Hall '-P 4 2'
loop_
_atom_site_label
_atom_site_fract_x
_atom_site_fract_y
_atom_site_fract_z
Na1 0.000 0.500 0.000
Tl1 0.000 0.000 0.500
Sn1 0.500 0.500 0.500
H1 0.000 0.000 0.000
```

Record 2
VASP calculation (PBE-GGA) on an optimized crystal structure of NaTl2SnH.

Results
* energy relative to the lowest polymorph listed for this composition: 0.075 eV per atom
* raw total energy: -2.574 eV/atom

```
data_NaTl2SnH
_cell_length_a 5.555
_cell_length_b 5.555
_cell_length_c 3.984
_cell_angle_alpha 90.00
_cell_angle_beta 90.00
_cell_angle_gamma 90.00
_symmetry_space_group_name_H-M 'P 4/m m m'
_symmetry_Int_Tables_number 123
_symmetry_space_group_name_Hall '-P 4 2'
loop_
_atom_site_label
_atom_site_fract_x
_atom_site_fract_y
_atom_site_fract_z
Na1 0.000 0.000 0.000
Tl1 0.000 0.500 0.500
Sn1 0.500 0.500 0.000
H1 0.500 0.500 0.500
```

Record 3
VASP calculation (PBE-GGA) on an optimized crystal structure of Na2YSnH.

Results
* raw total energy: -3.637 eV/atom

```
data_Na2YSnH
_cell_length_a 4.536
_cell_length_b 4.536
_cell_length_c 5.158
_cell_angle_alpha 90.00
_cell_angle_beta 90.00
_cell_angle_gamma 90.00
_symmetry_space_group_name_H-M 'P 4/m m m'
_symmetry_Int_Tables_number 123
_symmetry_space_group_name_Hall '-P 4 2'
loop_
_atom_site_label
_atom_site_fract_x
_atom_site_fract_y
_atom_site_fract_z
Na1 0.000 0.500 0.000
Y1 0.000 0.000 0.500
Sn1 0.500 0.500 0.500
H1 0.000 0.000 0.000
```

Record 4
VASP calculation (PBE-GGA) on an optimized crystal structure of Na2ZrSnH.

Results
* raw total energy: -3.793 eV/atom

```
data_Na2ZrSnH
_cell_length_a 4.354
_cell_length_b 4.354
_cell_length_c 4.975
_cell_angle_alpha 90.00
_cell_angle_beta 90.00
_cell_angle_gamma 90.00
_symmetry_space_group_name_H-M 'P 4/m m m'
_symmetry_Int_Tables_number 123
_symmetry_space_group_name_Hall '-P 4 2'
loop_
_atom_site_label
_atom_site_fract_x
_atom_site_fract_y
_atom_site_fract_z
Na1 0.000 0.500 0.000
Zr1 0.000 0.000 0.500
Sn1 0.500 0.500 0.500
H1 0.000 0.000 0.000
```

Record 5
VASP calculation (PBE-GGA) on an optimized crystal structure of Na2SrH6.

Results
* raw total energy: -2.235 eV/atom

```
data_Na2SrH6
_cell_length_a 7.767
_cell_length_b 7.767
_cell_length_c 7.767
_cell_angle_alpha 90.00
_cell_angle_beta 90.00
_cell_angle_gamma 90.00
_symmetry_space_group_name_H-M 'F m -3 m'
_symmetry_Int_Tables_number 225
_symmetry_space_group_name_Hall '-F 4 2 3'
loop_
_atom_site_label
_atom_site_fract_x
_atom_site_fract_y
_atom_site_fract_z
Na1 0.250 0.250 0.250
Sr1 0.000 0.000 0.000
H1 0.000 0.000 0.304
```

Record 6
VASP calculation (PBE-GGA) on an optimized crystal structure of NaSr2H.

Results
* energy relative to the lowest polymorph listed for this composition: 0.086 eV per atom
* raw total energy: -2.087 eV/atom

```
data_NaSr2H
_cell_length_a 4.0682
_cell_length_b 4.0682
_cell_length_c 28.6851
_cell_angle_alpha 90.00
_cell_angle_beta 90.00
_cell_angle_gamma 120.00
_symmetry_space_group_name_H-M 'R 3 m'
_symmetry_Int_Tables_number 160
_symmetry_space_group_name_Hall 'R 3 -2"'
loop_
_atom_site_label
_atom_site_fract_x
_atom_site_fract_y
_atom_site_fract_z
Na1 0.0000 0.0000 0.0000
Sr1 0.0000 0.0000 0.2210
Sr2 0.0000 0.0000 0.4450
H1 0.0000 0.0000 0.8328
```

Record 7
VASP calculation (PBE-GGA) on an optimized crystal structure of NaSrH.

Results
* energy relative to the lowest polymorph listed for this composition: 0.216 eV per atom
* raw total energy: -2.167 eV/atom

```
data_NaSrH
_cell_length_a 3.657
_cell_length_b 3.657
_cell_length_c 12.852
_cell_angle_alpha 90.00
_cell_angle_beta 90.00
_cell_angle_gamma 90.00
_symmetry_space_group_name_H-M 'I 4 m m'
_symmetry_Int_Tables_number 107
_symmetry_space_group_name_Hall 'I 4 -2'
loop_
_atom_site_label
_atom_site_fract_x
_atom_site_fract_y
_atom_site_fract_z
Na1 0.000 0.000 0.000
Sr1 0.000 0.000 0.723
H1 0.000 0.000 0.214
```

Record 8
VASP calculation (PBE-GGA) on an optimized crystal structure of NaSrH2.

Results
* energy relative to the lowest polymorph listed for this composition: 0.162 eV per atom
* raw total energy: -2.533 eV/atom

```
data_NaSrH2
_cell_length_a 5.511
_cell_length_b 5.511
_cell_length_c 11.801
_cell_angle_alpha 90.00
_cell_angle_beta 90.00
_cell_angle_gamma 90.00
_symmetry_space_group_name_H-M 'I -4 2 d'
_symmetry_Int_Tables_number 122
_symmetry_space_group_name_Hall 'I -4 2bw'
loop_
_atom_site_label
_atom_site_fract_x
_atom_site_fract_y
_atom_site_fract_z
Na1 0.000 0.000 0.000
Sr1 0.000 0.000 0.500
H1 0.229 0.250 0.625
```

Record 9
VASP calculation (PBE-GGA) on an optimized crystal structure of NaSrH2.

Results
* energy relative to the lowest polymorph listed for this composition: 0.163 eV per atom
* raw total energy: -2.532 eV/atom

```
data_NaSrH2
_cell_length_a 6.397
_cell_length_b 6.397
_cell_length_c 6.397
_cell_angle_alpha 90.00
_cell_angle_beta 90.00
_cell_angle_gamma 90.00
_symmetry_space_group_name_H-M 'F m -3 m'
_symmetry_Int_Tables_number 225
_symmetry_space_group_name_Hall '-F 4 2 3'
loop_
_atom_site_label
_atom_site_fract_x
_atom_site_fract_y
_atom_site_fract_z
Na1 0.000 0.000 0.000
Sr1 0.000 0.000 0.500
H1 0.250 0.250 0.250
```

Record 10
VASP calculation (PBE-GGA) on an optimized crystal structure of NaSrH.

Results
* energy relative to the lowest polymorph listed for this composition: 0.046 eV per atom
* raw total energy: -2.338 eV/atom

```
data_NaSrH
_cell_length_a 7.161
_cell_length_b 4.124
_cell_length_c 12.404
_cell_angle_alpha 90.00
_cell_angle_beta 101.52
_cell_angle_gamma 90.00
_symmetry_space_group_name_H-M 'C 1 2/m 1'
_symmetry_Int_Tables_number 12
_symmetry_space_group_name_Hall '-C 2y'
loop_
_atom_site_label
_atom_site_fract_x
_atom_site_fract_y
_atom_site_fract_z
Na1 0.203 0.000 0.112
Sr1 0.122 0.500 0.373
H1 0.194 0.500 0.577
```

Record 11
VASP calculation (PBE-GGA) on an optimized crystal structure of NaSrH.

Results
* energy relative to the lowest polymorph listed for this composition: 0.000 eV per atom
* raw total energy: -2.383 eV/atom

```
data_NaSrH
_cell_length_a 4.245
_cell_length_b 4.245
_cell_length_c 9.629
_cell_angle_alpha 90.00
_cell_angle_beta 90.00
_cell_angle_gamma 90.00
_symmetry_space_group_name_H-M 'P 4/n m m'
_symmetry_Int_Tables_number 129
loop_
_symmetry_equiv_pos_as_xyz
'x,y,z'
'-x,-y,-z'
'-y+1/2,x,z'
'y+1/2,-x,-z'
'-x+1/2,-y+1/2,z'
'x+1/2,y+1/2,-z'
'y,-x+1/2,z'
'-y,x+1/2,-z'
'x+1/2,-y,-z'
'-x+1/2,y,z'
'-y,-x,-z'
'y,x,z'
'-x,y+1/2,-z'
'x,-y+1/2,z'
'y+1/2,x+1/2,-z'
'-y+1/2,-x+1/2,z'
loop_
_atom_site_label
_atom_site_fract_x
_atom_site_fract_y
_atom_site_fract_z
Na1 0.250 0.250 0.094
Sr1 0.250 0.250 0.632
H1 0.250 0.750 0.500
```

Record 12
VASP calculation (PBE-GGA) on an optimized crystal structure of Na3SrH.

Results
* raw total energy: -1.629 eV/atom

```
data_Na3SrH
_cell_length_a 5.441
_cell_length_b 5.441
_cell_length_c 5.441
_cell_angle_alpha 90.00
_cell_angle_beta 90.00
_cell_angle_gamma 90.00
_symmetry_space_group_name_H-M 'P m -3 m'
_symmetry_Int_Tables_number 221
_symmetry_space_group_name_Hall '-P 4 2 3'
loop_
_atom_site_label
_atom_site_fract_x
_atom_site_fract_y
_atom_site_fract_z
Na1 0.000 0.000 0.500
Sr1 0.500 0.500 0.500
H1 0.000 0.000 0.000
```

Number 9 is which compound?
NaSrH2

The highest raw total energy belongs to which entry?
Na3SrH

Which formula does entry 4 have?
Na2ZrSnH